{
  "formula": "NbP2Ir",
  "functional": "GGA-PBE",
  "state": "optimized geometry",
  "spacegroup": "Fm-3m, No. 225",
  "dft_energy_ev_per_cell": -31.120,
  "formation_energy_mev_per_atom": -342,
  "polymorph_energy_ev_per_atom": 0.0000,
  "lattice": [[0.0000, 3.0452, 3.0452], [3.0452, 0.0000, 3.0452], [3.0452, 3.0452, 0.0000]],
  "species": ["P", "P", "Nb", "Ir"],
  "fractional_positions": [[0.2500, 0.2500, 0.2500], [0.7500, 0.7500, 0.7500], [0.0000, 0.0000, 0.0000], [0.5000, 0.5000, 0.5000]]
}

---

{
  "formula": "BaZrO2F",
  "functional": "GGA-PBE",
  "state": "optimized geometry",
  "spacegroup": "P4/mmm, No. 123",
  "dft_energy_ev_per_cell": -26.308,
  "lattice": [[4.8678, 0.0000, 0.0000], [0.0000, 4.8678, 0.0000], [0.0000, 0.0000, 4.6953]],
  "species": ["O", "O", "Ba", "Zr", "F"],
  "fractional_positions": [[0.0000, 0.5000, 0.0000], [0.5000, 0.0000, 0.0000], [0.0000, 0.0000, 0.0000], [0.5000, 0.5000, 0.5000], [0.0000, 0.0000, 0.5000]]
}

---

{
  "formula": "MgNbCoTc",
  "functional": "GGA-PBE",
  "state": "optimized geometry",
  "spacegroup": "F-43m, No. 216",
  "dft_energy_ev_per_cell": -29.103,
  "formation_energy_mev_per_atom": 8,
  "lattice": [[-2.9540, -1.0220, 3.0810], [-1.0927, -4.1949, 0.6870], [1.2766, -2.0262, 3.6780]],
  "species": ["Mg", "Nb", "Co", "Tc"],
  "fractional_positions": [[0.5000, 0.5000, 0.5000], [0.0000, 0.0000, 0.0000], [0.2500, 0.2500, 0.2500], [0.7500, 0.7500, 0.7500]]
}